1.
The following is a DFT calculation (PBE-GGA) of a geometry-optimized ReNiBr structure.

Structure (POSCAR):
```
ReNiBr
1.0
4.325 0.000 0.000
-2.162 3.745 0.000
0.000 0.000 2.833
Br Ni Re
1 1 1
Cartesian
0.000 0.000 2.364 Br
2.162 1.248 0.942 Ni
0.000 2.497 2.360 Re
```

Values from the calculation:
formation energy (no corrections)	1.112	eV per atom
space group	P3m1
polymorph energy (0 for the lowest one)	1.21	eV per formula unit

=====

2.
The following is a DFT calculation (PBE-GGA) of a geometry-optimized ReNiBr structure.

Structure (POSCAR):
```
ReNiBr
1.0
-5.983 -0.525 3.793
-5.146 2.247 3.838
-2.113 -0.848 -1.791
Re Ni Br
1 1 1
Cartesian
-4.990 -0.028 1.215 Re
-8.179 0.881 4.548 Ni
-2.187 -0.827 -1.713 Br
```

Values from the calculation:
formation energy (no corrections)	0.908	eV per atom
space group	Fmm2
polymorph energy (0 for the lowest one)	0.60	eV per formula unit

=====

3.
The following is a DFT calculation (PBE-GGA) of a geometry-optimized ReNiBr4 structure.

Structure (POSCAR):
```
ReNiBr4
1.0
0.000 4.377 4.377
4.377 0.000 4.377
4.377 4.377 0.000
Re Ni Br
1 1 4
Cartesian
0.000 0.000 0.000 Re
6.565 6.565 6.565 Ni
3.286 5.468 5.468 Br
5.468 5.468 3.286 Br
5.468 3.286 5.468 Br
3.286 3.286 3.286 Br
```

Values from the calculation:
formation energy (no corrections)	1.835	eV per atom
space group	F-43m

=====

4.
The following is a DFT calculation (PBE-GGA) of a geometry-optimized ReNi3Br structure.

Structure (POSCAR):
```
ReNi3Br
1.0
-0.266 4.523 0.709
-3.900 0.148 -2.407
-2.397 -0.743 3.838
Re Br Ni
1 1 3
Cartesian
0.000 0.000 0.000 Re
-3.282 1.964 1.070 Br
-1.950 0.074 -1.204 Ni
-1.199 -0.372 1.919 Ni
-0.133 2.261 0.355 Ni
```

Values from the calculation:
formation energy (no corrections)	1.410	eV per atom
space group	Pm-3m
polymorph energy (0 for the lowest one)	0.00	eV per formula unit